No. 1
{"formula": "VI3F", "functional": "PBE+U", "state": "optimized geometry", "cell": [[5.564, 0.000, 0.000], [0.000, 5.564, 0.000], [0.000, 0.000, 5.564]], "species": ["I", "I", "I", "V", "F"], "frac_coords": [[0.000, 0.500, 0.000], [0.000, 0.000, 0.500], [0.500, 0.000, 0.000], [0.000, 0.000, 0.000], [0.500, 0.500, 0.500]], "dos_at_fermi_per_ev_atom": 3.673, "e_above_lowest_polymorph_mev_per_atom": 0}

No. 2
{"formula": "VI3F", "functional": "PBE+U", "state": "optimized geometry", "cell": [[5.321, 0.000, 0.000], [0.000, 5.321, 0.000], [0.000, 0.000, 5.321]], "species": ["I", "I", "I", "V", "F"], "frac_coords": [[0.000, 0.500, 0.000], [0.000, 0.000, 0.500], [0.500, 0.000, 0.000], [0.500, 0.500, 0.500], [0.000, 0.000, 0.000]], "dos_at_fermi_per_ev_atom": 2.089, "e_above_lowest_polymorph_mev_per_atom": 525}

Q: What is the formula in the second record?
A: VI3F

Q: What is the formula in the first record?
A: VI3F

Q: What is the formula in the second record?
A: VI3F

What did the first record say?
{"formula": "VI3F", "functional": "PBE+U", "state": "optimized geometry", "cell": [[5.564, 0.000, 0.000], [0.000, 5.564, 0.000], [0.000, 0.000, 5.564]], "species": ["I", "I", "I", "V", "F"], "frac_coords": [[0.000, 0.500, 0.000], [0.000, 0.000, 0.500], [0.500, 0.000, 0.000], [0.000, 0.000, 0.000], [0.500, 0.500, 0.500]], "dos_at_fermi_per_ev_atom": 3.673, "e_above_lowest_polymorph_mev_per_atom": 0}